#A
Hg2MoOs: single point on PBEsol structure, SCAN.

Computed properties:
The value obtained for the density of states at the Fermi level is 2.6 states/eV/cell. Its space group is No. 12. The calculation puts the total magnetization at 0.47 μB per cell. The calculated volume comes out at 67.5 Å³/cell.

a = 2.919 Å, b = 4.964 Å, c = 4.957 Å
α = 99.83°, β = 107.12°, γ = 90.00°
Each line ends with the local moment (μB).
Positions (direct):
Mo 0.500 0.000 0.000  -0.05
Hg 0.749 0.749 0.498  0.00
Hg 0.251 0.251 0.502  0.00
Os 0.000 0.500 0.000  0.47

***

#B
Hg2MoOs: single point on PBEsol structure, SCAN.

Computed properties:
The value obtained for the density of states at the Fermi level is 3.7 states/eV/cell. Its space group is No. 139. The calculation puts the total magnetization at 0.00 μB per cell. The calculated volume comes out at 67.8 Å³/cell.

a = 3.954 Å, b = 3.954 Å, c = 5.162 Å
α = 112.52°, β = 112.52°, γ = 90.00°
Positions (direct):
Hg 0.250 0.750 0.500
Hg 0.750 0.250 0.500
Mo 0.500 0.500 0.000
Os 0.000 0.000 0.000

***

#C
Hg2MoOs: single point on PBEsol structure, SCAN.

Computed properties:
The value obtained for the density of states at the Fermi level is 2.7 states/eV/cell. Its space group is No. 47. The calculation puts the total magnetization at 0.00 μB per cell. The calculated volume comes out at 68.7 Å³/cell.

a = 2.963 Å, b = 4.772 Å, c = 4.859 Å
α = 90.00°, β = 90.00°, γ = 90.00°
Positions (direct):
Mo 0.500 0.000 0.500
Hg 0.500 0.500 0.000
Os 0.000 0.500 0.500
Hg 0.000 0.000 0.000

***

What are the relative energies? In meV per atom: #A 0; #B 154; #C 75.

***

#A
HgMo2P: single point on PBEsol structure, SCAN.

Computed properties:
The value obtained for the density of states at the Fermi level is 3.1 states/eV/cell. Its space group is No. 119. The calculation puts the total magnetization at 0.00 μB per cell. The calculated volume comes out at 62.4 Å³/cell.

a = 3.874 Å, b = 3.874 Å, c = 4.981 Å
α = 112.88°, β = 112.88°, γ = 90.00°
Positions (direct):
Mo 0.000 0.000 0.000
P 0.500 0.500 0.000
Hg 0.250 0.750 0.500
Mo 0.750 0.250 0.500

***

#B
HgMo2P: single point on PBEsol structure, SCAN.

Computed properties:
The value obtained for the density of states at the Fermi level is 2.9 states/eV/cell. Its space group is No. 166. The calculation puts the total magnetization at 0.00 μB per cell. The calculated volume comes out at 68.3 Å³/cell.

a = 3.481 Å, b = 3.481 Å, c = 6.807 Å
α = 75.19°, β = 75.19°, γ = 60.00°
Positions (direct):
Hg 0.500 0.500 0.500
Mo 0.274 0.274 0.177
Mo 0.726 0.726 0.823
P 0.000 0.000 0.000

***

#C
HgMo2P: single point on PBEsol structure, SCAN.

Computed properties:
The value obtained for the density of states at the Fermi level is 3.1 states/eV/cell. Its space group is No. 123. The calculation puts the total magnetization at 0.00 μB per cell. The calculated volume comes out at 61.0 Å³/cell.

a = 3.056 Å, b = 4.468 Å, c = 4.468 Å
α = 90.00°, β = 90.00°, γ = 90.00°
Positions (direct):
Mo 0.000 0.500 0.000
Mo 0.000 0.000 0.500
P 0.500 0.500 0.500
Hg 0.500 0.000 0.000

***

What are the relative energies? In meV per atom: #A 506; #B 0; #C 394.

***

#A
HgMoPb: single point on PBEsol structure, SCAN.

Computed properties:
The value obtained for the density of states at the Fermi level is 2.4 states/eV/cell. Its space group is No. 44. The calculation puts the total magnetization at 1.44 μB per cell. The calculated volume comes out at 61.1 Å³/cell.

a = 3.113 Å, b = 3.910 Å, c = 5.605 Å
α = 110.42°, β = 106.12°, γ = 90.00°
Each line ends with the local moment (μB).
Positions (direct):
Pb 0.674 0.674 0.348  -0.02
Hg 0.985 0.985 0.971  0.02
Mo 0.341 0.341 0.681  1.36

***

#B
HgMoPb: single point on PBEsol structure, SCAN.

Computed properties:
The value obtained for the density of states at the Fermi level is 2.2 states/eV/cell. Its space group is No. 42. The calculation puts the total magnetization at 0.00 μB per cell. The calculated volume comes out at 64.5 Å³/cell.

a = 2.981 Å, b = 2.981 Å, c = 7.596 Å
α = 99.58°, β = 99.58°, γ = 98.73°
Positions (direct):
Mo 0.662 0.662 0.324
Hg 0.022 0.022 0.045
Pb 0.316 0.316 0.632

***

What are the relative energies? In meV per atom: #A 106; #B 0.

***

#A
HgSbMo2: single point on PBEsol structure, SCAN.

Computed properties:
The value obtained for the density of states at the Fermi level is 2.7 states/eV/cell. Its space group is No. 160. The calculation puts the total magnetization at 0.00 μB per cell. The calculated volume comes out at 78.6 Å³/cell.

a = 3.139 Å, b = 3.139 Å, c = 9.390 Å
α = 80.38°, β = 80.38°, γ = 60.00°
Positions (direct):
Sb 0.490 0.490 0.529
Hg 0.259 0.259 0.224
Mo 0.740 0.740 0.780
Mo 0.011 0.011 0.967

***

#B
HgSbMo2: single point on PBEsol structure, SCAN.

Computed properties:
The value obtained for the density of states at the Fermi level is 2.9 states/eV/cell. Its space group is No. 47. The calculation puts the total magnetization at 0.00 μB per cell. The calculated volume comes out at 72.0 Å³/cell.

a = 3.314 Å, b = 4.539 Å, c = 4.787 Å
α = 90.00°, β = 90.00°, γ = 90.00°
Positions (direct):
Mo 0.000 0.000 0.000
Hg 0.000 0.500 0.500
Mo 0.500 0.000 0.500
Sb 0.500 0.500 0.000

***

What are the relative energies? In meV per atom: #A 0; #B 380.

***

#A
HgMo2Se: single point on PBEsol structure, SCAN.

Computed properties:
The value obtained for the density of states at the Fermi level is 3.5 states/eV/cell. Its space group is No. 47. The calculation puts the total magnetization at 0.00 μB per cell. The calculated volume comes out at 68.2 Å³/cell.

a = 3.220 Å, b = 4.567 Å, c = 4.637 Å
α = 90.00°, β = 90.00°, γ = 90.00°
Positions (direct):
Hg 0.000 0.500 0.500
Mo 0.000 0.000 0.000
Se 0.500 0.500 0.000
Mo 0.500 0.000 0.500

***

#B
HgMo2Se: single point on PBEsol structure, SCAN.

Computed properties:
The value obtained for the density of states at the Fermi level is 2.1 states/eV/cell. Its space group is No. 38. The calculation puts the total magnetization at 0.00 μB per cell. The calculated volume comes out at 70.2 Å³/cell.

a = 3.010 Å, b = 4.523 Å, c = 5.371 Å
α = 90.00°, β = 106.27°, γ = 90.00°
Positions (direct):
Mo 0.302 0.500 0.605
Mo 0.902 0.000 0.804
Hg 0.561 0.500 0.123
Se 0.210 0.000 0.419

***

What are the relative energies? In meV per atom: #A 397; #B 0.

***

#A
SrHg2Mo: single point on PBEsol structure, SCAN.

Computed properties:
The value obtained for the density of states at the Fermi level is 2.8 states/eV/cell. Its space group is No. 99. The calculation puts the total magnetization at 0.00 μB per cell. The calculated volume comes out at 87.1 Å³/cell.

a = 3.050 Å, b = 3.050 Å, c = 9.365 Å
α = 90.00°, β = 90.00°, γ = 90.00°
Positions (direct):
Mo 0.000 0.000 0.473
Sr 0.500 0.500 0.744
Hg 0.500 0.500 0.266
Hg 0.000 0.000 0.016

***

#B
SrHg2Mo: single point on PBEsol structure, SCAN.

Computed properties:
The value obtained for the density of states at the Fermi level is 2.4 states/eV/cell. Its space group is No. 123. The calculation puts the total magnetization at 2.32 μB per cell. The calculated volume comes out at 90.4 Å³/cell.

a = 3.536 Å, b = 3.536 Å, c = 7.231 Å
α = 90.00°, β = 90.00°, γ = 90.00°
Each line ends with the local moment (μB).
Positions (direct):
Mo 0.500 0.500 0.000  2.20
Sr 0.500 0.500 0.500  0.00
Hg 0.000 0.000 0.796  0.01
Hg 0.000 0.000 0.204  0.01

***

What are the relative energies? In meV per atom: #A 274; #B 0.

***

#A
TaHg2Mo: single point on PBEsol structure, SCAN.

Computed properties:
The value obtained for the density of states at the Fermi level is 2.5 states/eV/cell. Its space group is No. 99. The calculation puts the total magnetization at 0.00 μB per cell. The calculated volume comes out at 74.0 Å³/cell.

a = 3.396 Å, b = 3.396 Å, c = 6.416 Å
α = 90.00°, β = 90.00°, γ = 90.00°
Positions (direct):
Hg 0.500 0.500 0.257
Ta 0.500 0.500 0.713
Mo 0.000 0.000 0.535
Hg 0.000 0.000 0.995

***

#B
TaHg2Mo: single point on PBEsol structure, SCAN.

Computed properties:
The value obtained for the density of states at the Fermi level is 2.5 states/eV/cell. Its space group is No. 119. The calculation puts the total magnetization at 0.00 μB per cell. The calculated volume comes out at 71.1 Å³/cell.

a = 4.092 Å, b = 4.092 Å, c = 5.136 Å
α = 113.48°, β = 113.48°, γ = 90.00°
Positions (direct):
Hg 0.750 0.250 0.500
Hg 0.000 0.000 0.000
Ta 0.250 0.750 0.500
Mo 0.500 0.500 0.000

***

#C
TaHg2Mo: single point on PBEsol structure, SCAN.

Computed properties:
The value obtained for the density of states at the Fermi level is 2.3 states/eV/cell. Its space group is No. 12. The calculation puts the total magnetization at 0.00 μB per cell. The calculated volume comes out at 72.0 Å³/cell.

a = 3.142 Å, b = 4.756 Å, c = 5.181 Å
α = 101.95°, β = 107.65°, γ = 90.00°
Positions (direct):
Hg 0.248 0.247 0.496
Hg 0.752 0.753 0.504
Ta 0.000 0.500 0.000
Mo 0.500 0.000 0.000

***

What are the relative energies? In meV per atom: #A 0; #B 169; #C 122.